1.
K4Cd2Au | PBE | relaxed

Values from the calculation:
- space-group type = No. 139
- energy relative to the lowest polymorph listed for this composition (meV/atom) = 114
- formation enthalpy at 0 K (meV per atom) = -21
- D(E_F) (states/eV per cell) = 5.721

Cell lengths 6.5001, 6.5001, 9.5854 Å; angles 109.82, 109.82, 90.00 degrees
Fractional positions:
1 K 0.8064 0.8064 0.6129
2 K 0.1936 0.1936 0.3871
3 K 0.0000 0.5000 0.0000
4 K 0.5000 0.0000 0.0000
5 Au 0.0000 0.0000 0.0000
6 Cd 0.5935 0.5935 0.1871
7 Cd 0.4065 0.4065 0.8129

2.
Ca3GeMo | PBE | relaxed

Values from the calculation:
- space-group type = No. 221
- energy relative to the lowest polymorph listed for this composition (meV/atom) = 293
- formation enthalpy at 0 K (meV per atom) = 912
- D(E_F) (states/eV per cell) = 5.574

Cell lengths 5.3915, 5.3915, 5.3915 Å; angles 90.00, 90.00, 90.00 degrees
Fractional positions:
1 Mo 0.0000 0.0000 0.0000
2 Ca 0.0000 0.5000 0.0000
3 Ca 0.0000 0.0000 0.5000
4 Ca 0.5000 0.0000 0.0000
5 Ge 0.5000 0.5000 0.5000

3.
Tl2IrW | PBE | relaxed

Values from the calculation:
- space-group type = No. 12
- energy relative to the lowest polymorph listed for this composition (meV/atom) = 536
- formation enthalpy at 0 K (meV per atom) = 909
- D(E_F) (states/eV per cell) = 3.694

Cell lengths 4.9875, 4.9875, 5.3955 Å; angles 78.57, 78.57, 35.39 degrees
Fractional positions:
1 Ir 0.2500 0.2500 0.2500
2 Tl 0.9972 0.9972 0.0026
3 Tl 0.5028 0.5028 0.4974
4 W 0.7500 0.7500 0.7500

4.
Cd2WBr | PBE | relaxed

Values from the calculation:
- space-group type = No. 47
- energy relative to the lowest polymorph listed for this composition (meV/atom) = 8
- E_form (uncorrected) (eV per atom) = 0.465
- D(E_F) (states/eV per cell) = 2.128

Cell lengths 3.0730, 3.0221, 9.1980 Å; angles 90.01, 90.00, 90.00 degrees
Fractional positions:
1 W 0.5000 0.2500 0.2500
2 Br 0.5000 0.7500 0.7500
3 Cd 0.0000 0.7499 0.0277
4 Cd 0.0000 0.7501 0.4723

5.
CePmNdHo | PBE | relaxed

Values from the calculation:
- space-group type = No. 216
- formation enthalpy at 0 K (meV per atom) = 198
- D(E_F) (states/eV per cell) = 10.166

Cell lengths 5.7423, 5.7423, 5.7423 Å; angles 60.00, 60.00, 60.00 degrees
Site moments in Bohr magnetons follow the coordinates.
Fractional positions:
1 Nd 0.2500 0.2500 0.2500  0.30
2 Ho 0.0000 0.0000 0.0000  0.40
3 Ce 0.5000 0.5000 0.5000  1.13
4 Pm 0.7500 0.7500 0.7500  0.32

6.
CaMgCdSn | PBE | relaxed

Values from the calculation:
- space-group type = No. 216
- formation enthalpy at 0 K (meV per atom) = -355
- D(E_F) (states/eV per cell) = 1.324

Cell lengths 5.2298, 5.2298, 5.2298 Å; angles 60.00, 60.00, 60.00 degrees
Fractional positions:
1 Mg 0.0000 0.0000 0.0000
2 Ca 0.5000 0.5000 0.5000
3 Sn 0.2500 0.2500 0.2500
4 Cd 0.7500 0.7500 0.7500

7.
Mg2ZnOs | PBE | relaxed

Values from the calculation:
- space-group type = No. 35
- formation enthalpy at 0 K (meV per atom) = 258
- D(E_F) (states/eV per cell) = 2.973

Cell lengths 2.8323, 2.8323, 9.2357 Å; angles 90.00, 90.00, 113.88 degrees
Fractional positions:
1 Mg 0.0000 0.0000 0.9856
2 Mg 0.5000 0.5000 0.2733
3 Os 0.0000 0.0000 0.5081
4 Zn 0.5000 0.5000 0.7331

8.
Li2SmTm2In2 | PBE | relaxed

Values from the calculation:
- space-group type = No. 166
- formation enthalpy at 0 K (meV per atom) = -222
- D(E_F) (states/eV per cell) = 5.554

Cell lengths 4.8697, 4.8697, 9.1805 Å; angles 74.62, 74.62, 60.00 degrees
Fractional positions:
1 Li 0.5970 0.5970 0.2090
2 Li 0.4030 0.4030 0.7910
3 Sm 0.0000 0.0000 0.0000
4 Tm 0.1290 0.1290 0.6131
5 Tm 0.8710 0.8710 0.3869
6 In 0.7409 0.7409 0.7774
7 In 0.2591 0.2591 0.2226

9.
HfPd8Pt2 | PBE | relaxed

Values from the calculation:
- space-group type = No. 12
- energy relative to the lowest polymorph listed for this composition (meV/atom) = 0
- formation enthalpy at 0 K (meV per atom) = -291
- D(E_F) (states/eV per cell) = 10.508

Cell lengths 4.7085, 6.7987, 7.1678 Å; angles 56.96, 90.00, 110.26 degrees
Fractional positions:
1 Hf 0.5000 0.0000 0.0000
2 Pd 0.4089 0.8179 0.4538
3 Pd 0.6814 0.3628 0.0848
4 Pd 0.8649 0.7299 0.1824
5 Pd 0.9526 0.9052 0.7273
6 Pd 0.1351 0.2701 0.8176
7 Pd 0.3186 0.6372 0.9152
8 Pd 0.5911 0.1821 0.5462
9 Pd 0.0474 0.0948 0.2727
10 Pt 0.7745 0.5490 0.6330
11 Pt 0.2255 0.4510 0.3670

10.
Y2ScPdN | PBE | relaxed

Values from the calculation:
- space-group type = No. 123
- E_form (uncorrected) (eV per atom) = -0.998
- D(E_F) (states/eV per cell) = 4.956

Cell lengths 4.8527, 4.8527, 4.2391 Å; angles 90.00, 90.00, 90.00 degrees
Fractional positions:
1 Y 0.0000 0.5000 0.0000
2 Y 0.5000 0.0000 0.0000
3 Sc 0.0000 0.0000 0.5000
4 Pd 0.5000 0.5000 0.5000
5 N 0.0000 0.0000 0.0000

11.
ZrZn3Ir | PBE | relaxed

Values from the calculation:
- space-group type = No. 221
- energy relative to the lowest polymorph listed for this composition (meV/atom) = 1411
- formation enthalpy at 0 K (meV per atom) = 1728
- D(E_F) (states/eV per cell) = 4.372

Cell lengths 4.9757, 4.9757, 4.9757 Å; angles 90.00, 90.00, 90.00 degrees
Fractional positions:
1 Zn 0.0000 0.5000 0.0000
2 Zn 0.0000 0.0000 0.5000
3 Zn 0.5000 0.0000 0.0000
4 Ir 0.5000 0.5000 0.5000
5 Zr 0.0000 0.0000 0.0000

12.
CoSi2Ni | PBE | relaxed

Values from the calculation:
- space-group type = No. 99
- E_form (uncorrected) (eV per atom) = -0.080
- D(E_F) (states/eV per cell) = 2.442

Cell lengths 2.6081, 2.6081, 6.9522 Å; angles 90.00, 90.00, 90.00 degrees
Fractional positions:
1 Co 0.0000 0.0000 0.4919
2 Ni 0.5000 0.5000 0.7509
3 Si 0.0000 0.0000 0.9688
4 Si 0.5000 0.5000 0.2885

13.
La3Pr5Y3 | PBE | relaxed

Values from the calculation:
- space-group type = No. 189
- energy relative to the lowest polymorph listed for this composition (meV/atom) = 403
- formation enthalpy at 0 K (meV per atom) = 709
- D(E_F) (states/eV per cell) = 16.411

Cell lengths 5.4223, 9.8507, 9.8507 Å; angles 120.00, 90.00, 90.00 degrees
Fractional positions:
1 La 0.5000 0.6419 0.6419
2 La 0.5000 0.0000 0.3581
3 La 0.5000 0.3581 0.0000
4 Pr 0.5000 0.3333 0.6667
5 Pr 0.5000 0.6667 0.3333
6 Pr 0.5000 0.2634 0.2634
7 Pr 0.5000 0.0000 0.7366
8 Pr 0.5000 0.7366 0.0000
9 Y 0.0000 0.4844 0.4844
10 Y 0.0000 0.5156 0.0000
11 Y 0.0000 0.0000 0.5156

14.
BaRhOF2 | PBE | relaxed

Values from the calculation:
- space-group type = No. 123
- energy relative to the lowest polymorph listed for this composition (meV/atom) = 1090
- E_form (uncorrected) (eV per atom) = -0.865
- D(E_F) (states/eV per cell) = 10.219

Cell lengths 5.0496, 5.0496, 4.5654 Å; angles 90.00, 90.00, 90.00 degrees
Site moments in Bohr magnetons follow the coordinates.
Fractional positions:
1 Rh 0.5000 0.5000 0.5000  1.86
2 Ba 0.0000 0.0000 0.0000  0.01
3 O 0.0000 0.0000 0.5000  0.07
4 F 0.0000 0.5000 0.0000  0.03
5 F 0.5000 0.0000 0.0000  0.03

15.
Dy3CrS6 | PBE | relaxed

Values from the calculation:
- space-group type = No. 58
- energy relative to the lowest polymorph listed for this composition (meV/atom) = 0
- E_form (uncorrected) (eV per atom) = -1.734

Cell lengths 3.7741, 13.3082, 15.9197 Å; angles 90.00, 90.00, 90.00 degrees
Site moments in Bohr magnetons follow the coordinates.
Fractional positions:
1 Dy 0.0000 0.5504 0.2790  0.03
2 Dy 0.0000 0.4496 0.7210  0.03
3 Dy 0.5000 0.9496 0.7790  0.03
4 Dy 0.5000 0.0504 0.2210  0.03
5 Dy 0.0000 0.7579 0.0980  0.01
6 Dy 0.0000 0.2421 0.9020  0.01
7 Dy 0.5000 0.7421 0.5980  0.01
8 Dy 0.5000 0.2579 0.4020  0.01
9 Dy 0.0000 0.3190 0.1475  0.01
10 Dy 0.0000 0.6810 0.8525  0.01
11 Dy 0.5000 0.1810 0.6475  0.01
12 Dy 0.5000 0.8190 0.3525  0.01
13 Cr 0.0000 0.0000 0.5000  2.88
14 Cr 0.5000 0.5000 0.0000  2.88
15 Cr 0.0000 0.0000 0.0000  2.85
16 Cr 0.5000 0.5000 0.5000  2.85
17 S 0.0000 0.1204 0.1080  -0.02
18 S 0.0000 0.8796 0.8920  -0.02
19 S 0.5000 0.3796 0.6080  -0.02
20 S 0.5000 0.6204 0.3920  -0.02
21 S 0.0000 0.1889 0.2898  0.00
22 S 0.0000 0.8111 0.7102  0.00
23 S 0.5000 0.3111 0.7898  0.00
24 S 0.5000 0.6889 0.2102  0.00
25 S 0.0000 0.1803 0.5198  -0.03
26 S 0.0000 0.8197 0.4802  -0.03
27 S 0.5000 0.3197 0.0198  -0.03
28 S 0.5000 0.6803 0.9802  -0.03
29 S 0.0000 0.5221 0.0972  -0.06
30 S 0.0000 0.4779 0.9028  -0.06
31 S 0.5000 0.9779 0.5972  -0.06
32 S 0.5000 0.0221 0.4028  -0.06
33 S 0.0000 0.1032 0.7536  -0.01
34 S 0.0000 0.8968 0.2464  -0.01
35 S 0.5000 0.3968 0.2536  -0.01
36 S 0.5000 0.6032 0.7464  -0.01
37 S 0.0000 0.4187 0.4247  -0.05
38 S 0.0000 0.5813 0.5753  -0.05
39 S 0.5000 0.0813 0.9247  -0.05
40 S 0.5000 0.9187 0.0753  -0.05

16.
MgTlRu2I | PBE | relaxed

Values from the calculation:
- space-group type = No. 123
- E_form (uncorrected) (eV per atom) = 1.394
- D(E_F) (states/eV per cell) = 6.178

Cell lengths 4.9059, 5.3713, 4.9059 Å; angles 90.00, 90.00, 90.00 degrees
Site moments in Bohr magnetons follow the coordinates.
Fractional positions:
1 I 0.5000 0.5000 0.5000  0.09
2 Ru 0.0000 0.0000 0.5000  1.83
3 Ru 0.5000 0.0000 0.0000  1.70
4 Tl 0.0000 0.5000 0.0000  0.00
5 Mg 0.0000 0.0000 0.0000  -0.03

17.
LiNdGaPt3 | PBE | relaxed

Values from the calculation:
- space-group type = No. 63
- formation enthalpy at 0 K (meV per atom) = -701
- D(E_F) (states/eV per cell) = 6.365

Cell lengths 5.8051, 5.7457, 7.0908 Å; angles 113.90, 90.00, 90.00 degrees
Fractional positions:
1 Li 0.2500 0.8837 0.7674
2 Li 0.7500 0.1163 0.2326
3 Nd 0.7500 0.3277 0.6555
4 Nd 0.2500 0.6723 0.3445
5 Ga 0.2500 0.3820 0.7640
6 Ga 0.7500 0.6180 0.2360
7 Pt 0.2500 0.1878 0.3757
8 Pt 0.0000 0.2384 0.0000
9 Pt 0.5000 0.7616 0.0000
10 Pt 0.5000 0.2384 0.0000
11 Pt 0.0000 0.7616 0.0000
12 Pt 0.7500 0.8122 0.6243

18.
Zr2SbBr | PBE | relaxed

Values from the calculation:
- space-group type = No. 160
- energy relative to the lowest polymorph listed for this composition (meV/atom) = 7
- E_form (uncorrected) (eV per atom) = -0.551
- D(E_F) (states/eV per cell) = 3.423

Cell lengths 10.9646, 10.9646, 10.9646 Å; angles 17.89, 17.89, 17.89 degrees
Fractional positions:
1 Sb 0.7347 0.7347 0.7347
2 Br 0.5233 0.5233 0.5233
3 Zr 0.9921 0.9921 0.9921
4 Zr 0.2500 0.2500 0.2500

19.
PmThSnPb | PBE | relaxed

Values from the calculation:
- space-group type = No. 216
- formation enthalpy at 0 K (meV per atom) = -375
- D(E_F) (states/eV per cell) = 7.349

Cell lengths 5.5202, 5.5202, 5.5202 Å; angles 60.00, 60.00, 60.00 degrees
Fractional positions:
1 Pb 0.7500 0.7500 0.7500
2 Sn 0.2500 0.2500 0.2500
3 Th 0.5000 0.5000 0.5000
4 Pm 0.0000 0.0000 0.0000

20.
Zr4Ir3Os | PBE | relaxed

Values from the calculation:
- space-group type = No. 139
- formation enthalpy at 0 K (meV per atom) = -703
- D(E_F) (states/eV per cell) = 4.345

Cell lengths 4.5485, 4.5485, 7.6772 Å; angles 107.19, 107.23, 90.00 degrees
Fractional positions:
1 Ir 0.0000 0.5000 0.0000
2 Ir 0.7433 0.2433 0.4866
3 Ir 0.2567 0.7567 0.5134
4 Os 0.5000 0.0000 0.0000
5 Zr 0.3756 0.3755 0.7511
6 Zr 0.6244 0.6245 0.2489
7 Zr 0.1244 0.1245 0.2489
8 Zr 0.8756 0.8755 0.7511

21.
BaAs2SeO8 | PBE | relaxed

Values from the calculation:
- space-group type = No. 155
- E_form (uncorrected) (eV per atom) = -1.269
- D(E_F) (states/eV per cell) = 0.000

Cell lengths 5.0134, 5.0134, 8.8534 Å; angles 73.55, 73.55, 60.00 degrees
Fractional positions:
1 Ba 0.0000 0.0000 0.0000
2 As 0.7595 0.7595 0.7215
3 As 0.2405 0.2405 0.2785
4 Se 0.5000 0.5000 0.5000
5 O 0.6917 0.6917 0.9248
6 O 0.3083 0.3083 0.0752
7 O 0.5370 0.2497 0.3377
8 O 0.7503 0.4630 0.6623
9 O 0.1244 0.7503 0.6623
10 O 0.2497 0.8756 0.3377
11 O 0.8756 0.5370 0.3377
12 O 0.4630 0.1244 0.6623

22.
ScGaTc | PBE | relaxed

Values from the calculation:
- space-group type = No. 156
- energy relative to the lowest polymorph listed for this composition (meV/atom) = 270
- formation enthalpy at 0 K (meV per atom) = -221
- D(E_F) (states/eV per cell) = 3.368

Cell lengths 2.8564, 4.5433, 4.5433 Å; angles 120.00, 90.00, 90.00 degrees
Fractional positions:
1 Sc 0.3272 0.6667 0.3333
2 Tc 0.8854 0.0000 0.0000
3 Ga 0.7874 0.3333 0.6667

23.
ScCdCl5 | PBE | relaxed

Values from the calculation:
- space-group type = No. 15
- E_form (uncorrected) (eV per atom) = -1.615
- D(E_F) (states/eV per cell) = 0.000

Cell lengths 7.0612, 7.5230, 9.2510 Å; angles 81.18, 70.94, 62.01 degrees
Fractional positions:
1 Sc 0.0000 0.0000 0.0000
2 Sc 0.0000 0.0000 0.5000
3 Cd 0.5419 0.9161 0.7500
4 Cd 0.4581 0.0839 0.2500
5 Cl 0.3405 0.7020 0.8628
6 Cl 0.5830 0.1763 0.5388
7 Cl 0.0424 0.2980 0.3628
8 Cl 0.9226 0.1548 0.7500
9 Cl 0.2407 0.1763 0.9612
10 Cl 0.7593 0.8237 0.0388
11 Cl 0.0774 0.8452 0.2500
12 Cl 0.9576 0.7020 0.6372
13 Cl 0.4170 0.8237 0.4612
14 Cl 0.6595 0.2980 0.1372

24.
TaCu3Br | PBE | relaxed

Values from the calculation:
- space-group type = No. 221
- energy relative to the lowest polymorph listed for this composition (meV/atom) = 0
- E_form (uncorrected) (eV per atom) = 1.418
- D(E_F) (states/eV per cell) = 4.722

Cell lengths 4.9150, 4.9150, 4.9150 Å; angles 90.00, 90.00, 90.00 degrees
Fractional positions:
1 Cu 0.0000 0.5000 0.0000
2 Cu 0.0000 0.0000 0.5000
3 Cu 0.5000 0.0000 0.0000
4 Br 0.5000 0.5000 0.5000
5 Ta 0.0000 0.0000 0.0000

25.
LiAcAlAg2 | PBE | relaxed

Values from the calculation:
- space-group type = No. 119
- formation enthalpy at 0 K (meV per atom) = -266
- D(E_F) (states/eV per cell) = 2.795

Cell lengths 4.4616, 4.4616, 6.5854 Å; angles 109.80, 109.80, 90.00 degrees
Fractional positions:
1 Li 0.2500 0.7500 0.5000
2 Ac 0.0000 0.0000 0.0000
3 Al 0.7500 0.2500 0.5000
4 Ag 0.6236 0.6236 0.2472
5 Ag 0.3764 0.3764 0.7528